# 1
Material: YZrRuF2
Method: DFT, GGA-PBE
State: optimized geometry

Summary:
D(E_F) = 0.618 states/eV per atom
ρ = 5.6 Mg/m³
Crystal system = tetragonal
Total magnetization = 0.00 μB per cell
Raw formation energy = -1.591 eV/atom

abc: 4.1937 4.1937 5.4077
angles: 90.00 90.00 90.00
Closest atoms and distances in Å follow each position.
Space group P4/mmm (No. 123)
Inequivalent atoms, fractional coordinates:
1 Y 0.0000 0.0000 0.0000 (multiplicity 1)  4 Ru 2.97
2 Zr 0.5000 0.5000 0.5000 (multiplicity 1)  4 F 2.10
3 Ru 0.5000 0.5000 0.0000 (multiplicity 1)  2 Zr 2.70, 4 Y 2.97
4 F 0.0000 0.5000 0.5000 (multiplicity 2)  2 Zr 2.10

=====

# 2
Material: VS2NCl
Method: DFT, GGA-PBE
State: optimized geometry

Summary:
D(E_F) = 0.530 states/eV per atom
ρ = 3.4 Mg/m³
Crystal system = tetragonal
Total magnetization = 1.39 μB per cell
Raw formation energy = 1.482 eV/atom
ΔE to the lowest computed polymorph = 1.155 eV/atom

abc: 4.6766 4.6766 3.6579
angles: 90.00 90.00 90.00
Closest atoms and distances in Å follow each position.
Space group P4/mmm (No. 123)
Inequivalent atoms, fractional coordinates:
1 V 0.0000 0.0000 0.0000 (multiplicity 1)  8 S 2.97, 4 N 3.31
2 S 0.0000 0.5000 0.5000 (multiplicity 2)  2 Cl 2.34
3 N 0.5000 0.5000 0.0000 (multiplicity 1)  2 Cl 1.83
4 Cl 0.5000 0.5000 0.5000 (multiplicity 1)  2 N 1.83

=====

# 3
Material: La5Nd4Tm2
Method: DFT, GGA-PBE
State: optimized geometry

Summary:
D(E_F) = 1.424 states/eV per atom
Formation enthalpy at 0 K = 70 meV per atom
ρ = 6.8 Mg/m³
Crystal system = monoclinic
Total magnetization = 0.00 μB per cell
ΔE to the lowest computed polymorph = 0.000 eV/atom

abc: 23.8473 3.7430 9.4596
angles: 90.00 112.00 90.00
Closest atoms and distances in Å follow each position.
Space group C2/m (No. 12)
Inequivalent atoms, fractional coordinates:
1 La 0.0000 0.0000 0.0000 (multiplicity 2)  4 Nd 3.55, 6 La 3.58-3.74
2 La 0.1242 0.5000 0.9772 (multiplicity 4)  2 Nd 3.50-3.64, 7 La 3.57-3.74, 2 Tm 3.61
3 La 0.2426 0.5000 0.8165 (multiplicity 4)  2 Tm 3.56, 7 La 3.57-3.84, 3 Nd 3.73-3.78
4 Nd 0.0150 0.5000 0.3310 (multiplicity 4)  4 Tm 3.46-3.57, 3 La 3.50-3.55, 4 Nd 3.53-3.74
5 Nd 0.1740 0.5000 0.3914 (multiplicity 4)  5 Nd 3.62-3.91, 4 La 3.64-3.78, 2 Tm 3.78
6 Tm 0.1071 0.0000 0.6377 (multiplicity 4)  6 Nd 3.46-3.78, 4 La 3.56-3.61, 2 Tm 3.74

=====

# 4
Material: Zr2Ta2Cd
Method: DFT, GGA-PBE
State: optimized geometry

Summary:
D(E_F) = 0.831 states/eV per atom
Formation enthalpy at 0 K = 231 meV per atom
ρ = 10.1 Mg/m³
Crystal system = tetragonal
Total magnetization = 0.00 μB per cell

abc: 7.4642 7.4642 3.8655
angles: 90.00 90.00 90.00
Closest atoms and distances in Å follow each position.
Space group P4/mbm (No. 127)
Inequivalent atoms, fractional coordinates:
1 Zr 0.1705 0.3295 0.0000 (multiplicity 4)  6 Ta 2.90-2.95
2 Ta 0.1253 0.6253 0.5000 (multiplicity 4)  1 Ta 2.64, 6 Zr 2.90-2.95, 2 Cd 2.95
3 Cd 0.0000 0.0000 0.5000 (multiplicity 2)  4 Ta 2.95

=====

# 5
Material: HgN
Method: DFT, GGA-PBE
State: optimized geometry

Summary:
D(E_F) = 0.766 states/eV per atom
ρ = 8.2 Mg/m³
Crystal system = cubic
Total magnetization = 5.10 μB per cell
Raw formation energy = 1.606 eV/atom
ΔE to the lowest computed polymorph = 1.554 eV/atom

abc: 7.0275 7.0275 7.0275
angles: 90.00 90.00 90.00
Closest atoms and distances in Å follow each position.
Space group I-43m (No. 217)
Inequivalent atoms, fractional coordinates:
1 Hg 0.1818 0.1818 0.8182 (multiplicity 8)  1 N 2.08
2 N 0.1475 0.1475 0.1475 (multiplicity 8)  1 Hg 2.08

=====

# 6
Material: CaNbRe2O
Method: DFT, GGA-PBE
State: optimized geometry

Summary:
D(E_F) = 1.158 states/eV per atom
ρ = 9.1 Mg/m³
Crystal system = tetragonal
Total magnetization = 2.53 μB per cell
Raw formation energy = 2.065 eV/atom

abc: 4.9447 4.9447 3.8809
angles: 90.00 90.00 90.00
Closest atoms and distances in Å follow each position.
Space group P4/mmm (No. 123)
Inequivalent atoms, fractional coordinates:
1 Ca 0.0000 0.0000 0.0000 (multiplicity 1)  2 O 1.94
2 Nb 0.5000 0.5000 0.5000 (multiplicity 1)  8 Re 3.14, 4 O 3.50
3 Re 0.0000 0.5000 0.0000 (multiplicity 2)  2 Ca 2.47
4 O 0.0000 0.0000 0.5000 (multiplicity 1)  2 Ca 1.94

=====

# 7
Material: Ca2LaCo2
Method: DFT, GGA-PBE
State: optimized geometry

Summary:
D(E_F) = 1.190 states/eV per atom
Formation enthalpy at 0 K = 455 meV per atom
ρ = 4.9 Mg/m³
Crystal system = tetragonal
Total magnetization = 2.36 μB per cell
ΔE to the lowest computed polymorph = 0.311 eV/atom

abc: 8.4465 8.4465 3.1790
angles: 90.00 90.00 90.00
Closest atoms and distances in Å follow each position.
Space group P4/mbm (No. 127)
Inequivalent atoms, fractional coordinates:
1 Ca 0.1285 0.3715 0.0000 (multiplicity 4)  6 Co 2.84-3.03, 3 Ca 3.07-3.18
2 La 0.0000 0.0000 0.0000 (multiplicity 2)  2 La 3.18, 4 Ca 3.32, 8 Co 3.50
3 Co 0.1741 0.6741 0.5000 (multiplicity 4)  6 Ca 2.84-3.03, 2 Co 3.18

=====

Question: Look up the ρ of the first one.
Answer: 5.6 Mg/m³

=====

Question: Look up the total magnetization of the first one.
Answer: 0.00 μB per cell